Record 1
The following is a DFT calculation (PBE-GGA) of an optimized crystal structure of Ga6Cl. Values from VASP.

The structure in Quantum ESPRESSO input format:
```
&SYSTEM
  ibrav = 0, nat = 7, ntyp = 2
/
ATOMIC_SPECIES
Ga 69.72 Ga.upf
Cl 35.45 Cl.upf
ATOMIC_POSITIONS crystal
Ga 0.2500 0.5000 0.7500
Ga 0.2500 0.7500 0.5000
Ga 0.5000 0.2500 0.7500
Ga 0.5000 0.7500 0.2500
Ga 0.7500 0.2500 0.5000
Ga 0.7500 0.5000 0.2500
Cl 0.0000 0.0000 0.0000
CELL_PARAMETERS angstrom
-3.6060 3.6060 3.6060
3.6060 -3.6060 3.6060
3.6060 3.6060 -3.6060
```

Properties
* SG: Im-3m

---

Record 2
The following is a DFT calculation (PBE-GGA) of an optimized crystal structure of GaCl3. Values from VASP.

The structure in Quantum ESPRESSO input format:
```
&SYSTEM
  ibrav = 0, nat = 8, ntyp = 2
/
ATOMIC_SPECIES
Ga 69.72 Ga.upf
Cl 35.45 Cl.upf
ATOMIC_POSITIONS crystal
Ga 0.0822 0.1672 0.2937
Ga 0.9178 0.8328 0.7063
Cl 0.1375 0.2783 0.5233
Cl 0.1536 0.3133 0.1468
Cl 0.4885 0.9791 0.2318
Cl 0.5115 0.0209 0.7682
Cl 0.8464 0.6867 0.8532
Cl 0.8625 0.7217 0.4767
CELL_PARAMETERS angstrom
3.6766 0.0000 0.0000
-1.8184 8.2226 0.0000
-0.0216 -3.0125 9.2098
```

Properties
* SG: P-1

---

Record 3
The following is a DFT calculation (PBE-GGA) of an optimized crystal structure of GaCl. Values from VASP.

The structure in Quantum ESPRESSO input format:
```
&SYSTEM
  ibrav = 0, nat = 4, ntyp = 2
/
ATOMIC_SPECIES
Ga 69.72 Ga.upf
Cl 35.45 Cl.upf
ATOMIC_POSITIONS crystal
Ga 0.2001 0.2001 0.0001
Ga 0.7999 0.7999 0.9999
Cl 0.0813 0.0813 0.2696
Cl 0.9187 0.9187 0.7304
CELL_PARAMETERS angstrom
4.3277 -2.3578 0.0000
4.3277 2.3578 0.0000
-2.6103 0.0000 6.3640
```

Properties
* SG: C2/m

---

Record 4
The following is a DFT calculation (PBE-GGA) of an optimized crystal structure of GaCl. Values from VASP.

The structure in Quantum ESPRESSO input format:
```
&SYSTEM
  ibrav = 0, nat = 16, ntyp = 2
/
ATOMIC_SPECIES
Ga 69.72 Ga.upf
Cl 35.45 Cl.upf
ATOMIC_POSITIONS crystal
Ga 0.2084 0.1269 0.1996
Ga 0.2084 0.3731 0.6996
Ga 0.2916 0.6269 0.1996
Ga 0.2916 0.8731 0.6996
Ga 0.7084 0.1269 0.3004
Ga 0.7084 0.3731 0.8004
Ga 0.7916 0.6269 0.3004
Ga 0.7916 0.8731 0.8004
Cl 0.0028 0.1895 0.8938
Cl 0.0028 0.3105 0.3938
Cl 0.4972 0.6895 0.8938
Cl 0.4972 0.8105 0.3938
Cl 0.5028 0.1895 0.6062
Cl 0.5028 0.3105 0.1062
Cl 0.9972 0.6895 0.6062
Cl 0.9972 0.8105 0.1062
CELL_PARAMETERS angstrom
6.7739 0.0000 0.0000
0.0000 10.2308 0.0000
0.0000 0.0000 7.0900
```

Properties
* SG: Pbca

---

Record 5
The following is a DFT calculation (PBE-GGA) of an optimized crystal structure of GaCl3. Values from VASP.

The structure in Quantum ESPRESSO input format:
```
&SYSTEM
  ibrav = 0, nat = 8, ntyp = 2
/
ATOMIC_SPECIES
Ga 69.72 Ga.upf
Cl 35.45 Cl.upf
ATOMIC_POSITIONS crystal
Ga 0.0739 0.3424 0.4166
Ga 0.9261 0.6576 0.5834
Cl 0.1112 0.8209 0.9303
Cl 0.2172 0.7167 0.4988
Cl 0.3539 0.3085 0.6609
Cl 0.6461 0.6915 0.3391
Cl 0.7828 0.2833 0.5012
Cl 0.8888 0.1791 0.0697
CELL_PARAMETERS angstrom
7.2514 0.0000 0.0000
-3.2783 6.4976 0.0000
-3.3675 -2.3931 6.0099
```

Properties
* SG: P-1

---

Record 6
The following is a DFT calculation (PBE-GGA) of an optimized crystal structure of GaCl. Values from VASP.

The structure in Quantum ESPRESSO input format:
```
&SYSTEM
  ibrav = 0, nat = 8, ntyp = 2
/
ATOMIC_SPECIES
Ga 69.72 Ga.upf
Cl 35.45 Cl.upf
ATOMIC_POSITIONS crystal
Ga 0.0000 0.0000 0.2885
Ga 0.0000 0.2885 0.0000
Ga 0.2885 0.0000 0.0000
Ga 0.7115 0.7115 0.7115
Cl 0.0000 0.0000 0.7296
Cl 0.0000 0.7296 0.0000
Cl 0.2704 0.2704 0.2704
Cl 0.7296 0.0000 0.0000
CELL_PARAMETERS angstrom
-4.8748 4.8748 4.8748
4.8748 -4.8748 4.8748
4.8748 4.8748 -4.8748
```

Properties
* SG: I-43m

---

Total DFT energy (no corrections), respectively: -0.0973; -0.1182; -0.1174; -0.1138; -0.1193; -0.1132 hartree per atom.